First-principles (GGA-PBE) data for RbTlS2 after structural relaxation, as listed in Alexandria via LeMat-Bulk.

a b c (Å): 6.8744 3.9443 18.9604
angles (deg): 90.00 90.00 90.00
Atoms (fractional coordinates):
1 Tl 0.6351 0.7500 0.5687
2 Rb 0.1611 0.2500 0.6631
3 S 0.7339 0.2500 0.4714
4 S 0.1719 0.2500 0.8390
5 S 0.2339 0.2500 0.0286
6 S 0.2661 0.7500 0.5286
7 S 0.6719 0.2500 0.6610
8 Rb 0.6611 0.2500 0.8369
9 Tl 0.8649 0.2500 0.0687
10 Tl 0.3649 0.2500 0.4313
11 Tl 0.1351 0.7500 0.9313
12 Rb 0.3389 0.7500 0.1631
13 S 0.7661 0.7500 0.9714
14 Rb 0.8389 0.7500 0.3369
15 S 0.8281 0.7500 0.1610
16 S 0.3281 0.7500 0.3390

Values from the calculation:
Symmetry: No. 62
Polymorph energy (0 for the lowest one) in meV per atom: 117
Total energy in eV per atom: -3.417
Crystal system: orthorhombic
Total magnetization in μB/atom: 0.00